1.
Material: Al8Ga
Method: DFT, PBE-GGA
State: optimized geometry

Lattice parameters (Å, degrees): 4.0570 6.4005 6.4005 84.24 71.52 71.52
Last column: nearest neighbours and their distance in Å.
Fractional positions:
Al  0.6680  0.0000  0.6641  10 Al 2.84-2.88, 2 Ga 2.88
Al  0.3320  0.0000  0.3359  10 Al 2.84-2.88, 2 Ga 2.88
Al  0.3346  0.6654  0.6654  11 Al 2.84-2.87, 1 Ga 2.87
Al  0.6680  0.6641  0.0000  10 Al 2.84-2.88, 2 Ga 2.88
Al  0.0000  0.6654  0.3346  11 Al 2.84-2.87, 1 Ga 2.87
Al  0.3320  0.3359  0.0000  10 Al 2.84-2.88, 2 Ga 2.88
Al  0.6654  0.3346  0.3346  11 Al 2.84-2.87, 1 Ga 2.87
Al  0.0000  0.3346  0.6654  11 Al 2.84-2.87, 1 Ga 2.87
Ga  0.0000  0.0000  0.0000  12 Al 2.87-2.88

M_tot	0.0	μB/f.u.
VASP energy	-3.653	eV/atom
density of states at the Fermi level	0.353	states/eV/atom

***

2.
Material: Al5Ga2
Method: DFT, PBE-GGA
State: optimized geometry

Lattice parameters (Å, degrees): 4.6811 4.6811 7.0006 70.47 70.47 60.00
Last column: nearest neighbours and their distance in Å.
Fractional positions:
Al  0.0712  0.0712  0.7863  5 Al 2.73-2.87, 3 Ga 2.86
Al  0.7881  0.7881  0.6356  7 Al 2.73-2.87, 1 Ga 2.79
Al  0.5000  0.5000  0.5000  2 Ga 2.79, 6 Al 2.84
Al  0.2119  0.2119  0.3644  7 Al 2.73-2.87, 1 Ga 2.79
Al  0.9288  0.9288  0.2137  5 Al 2.73-2.87, 3 Ga 2.86
Ga  0.6439  0.6439  0.0682  5 Al 2.79-2.86, 3 Ga 2.84
Ga  0.3561  0.3561  0.9318  5 Al 2.79-2.86, 3 Ga 2.84

M_tot	0.0	μB/f.u.
excess energy over the best structure of this formula in the dataset	42.3	meV per atom
VASP energy	-3.448	eV/atom
density of states at the Fermi level	0.556	states/eV/atom

***

3.
Material: AlGa5
Method: DFT, PBE-GGA
State: optimized geometry

Lattice parameters (Å, degrees): 4.7719 5.6519 8.7201 90.00 90.00 107.85
Last column: nearest neighbours and their distance in Å.
Fractional positions:
Al  0.7778  0.5661  0.2500  10 Ga 2.82-2.92
Al  0.2222  0.4339  0.7500  10 Ga 2.82-2.92
Ga  0.7620  0.0632  0.2500  8 Ga 2.80-2.99, 2 Al 2.82-2.83
Ga  0.2380  0.9368  0.7500  8 Ga 2.80-2.99, 2 Al 2.82-2.83
Ga  0.2346  0.9412  0.4161  9 Ga 2.80-3.01, 1 Al 2.92
Ga  0.7654  0.0588  0.9161  9 Ga 2.80-3.01, 1 Al 2.92
Ga  0.7654  0.0588  0.5839  9 Ga 2.80-3.01, 1 Al 2.92
Ga  0.2346  0.9412  0.0839  9 Ga 2.80-3.01, 1 Al 2.92
Ga  0.2432  0.4422  0.4150  7 Ga 2.77-3.01, 3 Al 2.82-2.92
Ga  0.7568  0.5578  0.9150  7 Ga 2.77-3.01, 3 Al 2.82-2.92
Ga  0.7568  0.5578  0.5850  7 Ga 2.77-3.01, 3 Al 2.82-2.92
Ga  0.2432  0.4422  0.0850  7 Ga 2.77-3.01, 3 Al 2.82-2.92

M_tot	0.0	μB/f.u.
VASP energy	-3.117	eV/atom
density of states at the Fermi level	0.359	states/eV/atom

***

4.
Material: AlGa
Method: DFT, PBE-GGA
State: optimized geometry

Lattice parameters (Å, degrees): 5.9108 5.9108 5.9108 90.00 90.00 90.00
Last column: nearest neighbours and their distance in Å.
Fractional positions:
Al  0.2500  0.2500  0.2500  4 Ga 2.56
Al  0.2500  0.7500  0.7500  4 Ga 2.56
Al  0.7500  0.2500  0.7500  4 Ga 2.56
Al  0.7500  0.7500  0.2500  4 Ga 2.56
Ga  0.0000  0.0000  0.0000  4 Al 2.56
Ga  0.0000  0.5000  0.5000  4 Al 2.56
Ga  0.5000  0.0000  0.5000  4 Al 2.56
Ga  0.5000  0.5000  0.0000  4 Al 2.56

M_tot	0.0	μB/f.u.
VASP energy	-2.916	eV/atom
density of states at the Fermi level	0.677	states/eV/atom

***

5.
Material: Al2Ga13
Method: DFT, PBE-GGA
State: optimized geometry

Lattice parameters (Å, degrees): 7.4035 7.4035 8.3731 63.76 63.76 60.00
Last column: nearest neighbours and their distance in Å.
Fractional positions:
Al  0.2968  0.2968  0.1095  6 Ga 2.62-2.79
Al  0.7032  0.7032  0.8905  6 Ga 2.62-2.79
Ga  0.5000  0.5000  0.5000  12 Ga 2.77-2.79
Ga  0.4670  0.8707  0.1953  2 Al 2.62-2.79, 4 Ga 2.79-2.93
Ga  0.4670  0.4670  0.1953  2 Al 2.62-2.79, 4 Ga 2.79-2.93
Ga  0.8707  0.4670  0.1953  2 Al 2.62-2.79, 4 Ga 2.79-2.93
Ga  0.1293  0.5330  0.8047  2 Al 2.62-2.79, 4 Ga 2.79-2.93
Ga  0.5330  0.1293  0.8047  2 Al 2.62-2.79, 4 Ga 2.79-2.93
Ga  0.5330  0.5330  0.8047  2 Al 2.62-2.79, 4 Ga 2.79-2.93
Ga  0.2608  0.8904  0.5880  8 Ga 2.74-2.99
Ga  0.2608  0.2608  0.5880  8 Ga 2.74-2.99
Ga  0.8904  0.2608  0.5880  8 Ga 2.74-2.99
Ga  0.1096  0.7392  0.4120  8 Ga 2.74-2.99
Ga  0.7392  0.1096  0.4120  8 Ga 2.74-2.99
Ga  0.7392  0.7392  0.4120  8 Ga 2.74-2.99

M_tot	0.0	μB/f.u.
VASP energy	-2.988	eV/atom
density of states at the Fermi level	0.216	states/eV/atom

***

6.
Material: Al7Ga6
Method: DFT, PBE-GGA
State: optimized geometry

Lattice parameters (Å, degrees): 5.5605 5.5607 9.6673 70.91 70.91 58.86
Last column: nearest neighbours and their distance in Å.
Fractional positions:
Al  0.4103  0.9145  0.2482  5 Al 2.71-2.82, 5 Ga 2.76-2.99
Al  0.4013  0.4014  0.2682  5 Al 2.75-2.82, 5 Ga 2.79-2.93
Al  0.9145  0.4102  0.2482  5 Al 2.71-2.82, 5 Ga 2.76-2.99
Al  0.5897  0.0855  0.7518  5 Al 2.71-2.82, 5 Ga 2.76-2.99
Al  0.0855  0.5898  0.7518  5 Al 2.71-2.82, 5 Ga 2.76-2.99
Al  0.5987  0.5986  0.7318  5 Al 2.75-2.82, 5 Ga 2.79-2.93
Al  0.5000  0.5000  0.5000  6 Al 2.72-2.75
Ga  0.9440  0.9440  0.1514  2 Ga 2.71-2.88, 6 Al 2.88-2.95
Ga  0.0560  0.0560  0.8486  2 Ga 2.71-2.88, 6 Al 2.88-2.95
Ga  0.8539  0.8539  0.4707  3 Al 2.79-2.99, 2 Ga 2.88-3.09
Ga  0.1461  0.1461  0.5293  3 Al 2.79-2.99, 2 Ga 2.88-3.09
Ga  0.6528  0.6528  0.0044  6 Al 2.76-2.87, 1 Ga 2.99
Ga  0.3472  0.3472  0.9956  6 Al 2.76-2.87, 1 Ga 2.99

M_tot	0.0	μB/f.u.
VASP energy	-3.337	eV/atom
density of states at the Fermi level	0.384	states/eV/atom

***

7.
Material: AlGa3
Method: DFT, PBE-GGA
State: optimized geometry

Lattice parameters (Å, degrees): 3.9542 3.9802 9.7564 90.00 101.69 90.00
Last column: nearest neighbours and their distance in Å.
Fractional positions:
Al  0.1691  0.7500  0.3381  9 Ga 2.69-2.90
Al  0.8309  0.2500  0.6619  9 Ga 2.69-2.90
Ga  0.9340  0.7500  0.8681  2 Al 2.80, 8 Ga 2.81-3.09
Ga  0.0660  0.2500  0.1319  2 Al 2.80, 8 Ga 2.81-3.09
Ga  0.5583  0.7500  0.1166  8 Ga 2.81-3.09, 2 Al 2.90
Ga  0.4417  0.2500  0.8834  8 Ga 2.81-3.09, 2 Al 2.90
Ga  0.3099  0.7500  0.6199  5 Al 2.69-2.83
Ga  0.6901  0.2500  0.3801  5 Al 2.69-2.83

M_tot	0.0	μB/f.u.
VASP energy	-3.149	eV/atom
density of states at the Fermi level	0.238	states/eV/atom

***

8.
Material: GdAlGa
Method: DFT, PBE-GGA
State: optimized geometry

Lattice parameters (Å, degrees): 4.4072 4.4072 3.8095 90.00 90.00 120.00
Last column: nearest neighbours and their distance in Å.
Fractional positions:
Gd  0.6667  0.3333  0.0000  6 Al 3.18, 6 Ga 3.18
Al  0.0000  0.0000  0.5000  3 Ga 2.54
Ga  0.3333  0.6667  0.5000  3 Al 2.54

M_tot	7.1	μB/f.u.
excess energy over the best structure of this formula in the dataset	0.0	meV per atom
VASP energy	-7.519	eV/atom
density of states at the Fermi level	0.503	states/eV/atom

***

9.
Material: GdAlGa2
Method: DFT, PBE-GGA
State: optimized geometry

Lattice parameters (Å, degrees): 4.2313 4.3224 4.3224 90.00 90.00 90.00
Last column: nearest neighbours and their distance in Å.
Fractional positions:
Gd  0.5000  0.0000  0.0000  8 Ga 3.02, 4 Al 3.06
Al  0.5000  0.5000  0.5000  8 Ga 3.02, 4 Gd 3.06
Ga  0.0000  0.0000  0.5000  4 Gd 3.02, 4 Al 3.02, 4 Ga 3.06
Ga  0.0000  0.5000  0.0000  4 Al 3.02, 4 Gd 3.02, 4 Ga 3.06

M_tot	7.0	μB/f.u.
VASP energy	-6.456	eV/atom
density of states at the Fermi level	0.351	states/eV/atom

***

10.
Material: GdAl4Ga
Method: DFT, PBE-GGA
State: optimized geometry

Lattice parameters (Å, degrees): 5.5092 5.5092 5.5092 60.00 60.00 60.00
Last column: nearest neighbours and their distance in Å.
Fractional positions:
Gd  0.2500  0.2500  0.2500  12 Al 3.23, 4 Ga 3.37
Al  0.6249  0.6249  0.1254  6 Al 2.75-2.76
Al  0.6249  0.1254  0.6249  6 Al 2.75-2.76
Al  0.6249  0.6249  0.6249  6 Al 2.75-2.76
Al  0.1254  0.6249  0.6249  6 Al 2.75-2.76
Ga  0.0000  0.0000  0.0000  12 Al 3.23, 4 Gd 3.37

M_tot	7.7	μB/f.u.
VASP energy	-5.531	eV/atom
density of states at the Fermi level	0.610	states/eV/atom

***

11.
Material: Gd2AlGa
Method: DFT, PBE-GGA
State: optimized geometry

Lattice parameters (Å, degrees): 5.1308 5.1308 5.1308 60.00 60.00 60.00
Last column: nearest neighbours and their distance in Å.
Fractional positions:
Gd  0.2500  0.2500  0.2500  4 Al 3.14, 4 Ga 3.14
Gd  0.7500  0.7500  0.7500  4 Al 3.14, 4 Ga 3.14
Al  0.0000  0.0000  0.0000  8 Gd 3.14
Ga  0.5000  0.5000  0.5000  8 Gd 3.14

M_tot	14.2	μB/f.u.
excess energy over the best structure of this formula in the dataset	9.0	meV per atom
VASP energy	-9.211	eV/atom
density of states at the Fermi level	0.645	states/eV/atom

***

12.
Material: GdAlGa
Method: DFT, PBE-GGA
State: optimized geometry

Lattice parameters (Å, degrees): 3.3539 3.3539 6.1704 105.77 105.77 90.00
Last column: nearest neighbours and their distance in Å.
Fractional positions:
Gd  0.6181  0.6181  0.2363  4 Ga 3.17, 5 Al 3.21-3.54, 4 Gd 3.35
Al  0.9288  0.9288  0.8576  4 Ga 2.77
Ga  0.3031  0.3031  0.6062  4 Al 2.77

M_tot	7.5	μB/f.u.
excess energy over the best structure of this formula in the dataset	220.3	meV per atom
VASP energy	-7.299	eV/atom
density of states at the Fermi level	0.654	states/eV/atom

***

no.,calculated formation energy (eV per atom)
1,0.0097
2,0.0898
3,0.0293
4,0.4685
5,0.1345
6,0.0750
7,0.0573
8,-0.5690
9,-0.4864
10,-0.1850
11,-0.4780
12,-0.3487